ZnOs2Se: relaxed, PBEsol.

a b c (Å): 2.8108 3.8021 5.5927
angles (deg): 90.00 90.00 90.00
Sites, in units of the cell vectors:
Os  0.5000  0.0000  0.0119
Os  0.0000  0.5000  0.2530
Se  0.5000  0.0000  0.4572
Zn  0.0000  0.5000  0.7779

Calculated values
- SG: No. 25
- Total moment: 0.000 μB/atom
- Energy above the lowest structure with this stoichiometry: 168 meV per atom
- V: 14.94 Å³ per atom
- Formation energy without anion corrections: 0.470 eV/atom

=====

LaCr2Mo: relaxed, PBEsol.

a b c (Å): 2.9276 3.5750 6.8456
angles (deg): 90.00 101.24 90.00
Sites, in units of the cell vectors:
Cr  0.9756  0.0000  0.0166
Cr  0.7177  0.5000  0.1597
La  0.5251  0.0000  0.4858
Mo  0.2817  0.5000  0.8379

Calculated values
- SG: No. 6
- Total moment: 0.000 μB/atom
- Energy above the lowest structure with this stoichiometry: 76 meV per atom
- Calculated formation energy: 0.5694 eV/atom
- V: 17.57 Å³ per atom

=====

ReAuCl: relaxed, PBEsol.

a b c (Å): 2.8017 2.9063 7.2140
angles (deg): 84.63 78.80 61.18
Sites, in units of the cell vectors:
Re  0.6774  0.0000  0.6451
Au  0.0102  0.0000  0.9797
Cl  0.3124  0.0000  0.3752

Calculated values
- SG: No. 42
- Total moment: 0.002 μB/atom
- V: 16.83 Å³ per atom
- Formation energy without anion corrections: 0.582 eV/atom

=====

Sc3SnTe: relaxed, PBEsol.

a b c (Å): 5.2733 5.2733 5.2733
angles (deg): 90.00 90.00 90.00
Sites, in units of the cell vectors:
Sc  0.0000  0.5000  0.0000
Sc  0.0000  0.0000  0.5000
Sc  0.5000  0.0000  0.0000
Te  0.5000  0.5000  0.5000
Sn  0.0000  0.0000  0.0000

Calculated values
- SG: No. 221
- Total moment: 0.001 μB/atom
- V: 29.33 Å³ per atom
- Formation energy without anion corrections: 0.045 eV/atom

=====

TaAl5: relaxed, PBEsol.

a b c (Å): 2.9037 5.3808 6.6835
angles (deg): 104.99 90.00 105.65
Sites, in units of the cell vectors:
Al  0.0015  0.0031  0.9968
Al  0.6681  0.3361  0.3348
Al  0.3305  0.6610  0.6680
Al  0.3848  0.7697  0.2751
Al  0.0587  0.1174  0.6107
Ta  0.7230  0.4460  0.9479

Calculated values
- SG: No. 8
- Total moment: 0.000 μB/atom
- Energy above the lowest structure with this stoichiometry: 0 meV per atom
- Calculated formation energy: -0.1112 eV/atom
- V: 16.14 Å³ per atom

=====

KAlF4: relaxed, PBEsol.

a b c (Å): 5.0404 5.0404 6.1735
angles (deg): 90.00 90.00 90.00
Sites, in units of the cell vectors:
Al  0.0000  0.0000  0.0000
Al  0.5000  0.5000  0.0000
F  0.0000  0.0000  0.2878
F  0.5000  0.5000  0.7122
F  0.0000  0.0000  0.7122
F  0.5000  0.5000  0.2878
F  0.3056  0.8056  0.0000
F  0.6944  0.1944  0.0000
F  0.1944  0.3056  0.0000
F  0.8056  0.6944  0.0000
K  0.0000  0.5000  0.5000
K  0.5000  0.0000  0.5000

Calculated values
- SG: No. 127
- Total moment: 0.000 μB/atom
- V: 13.07 Å³ per atom
- Formation energy without anion corrections: -3.382 eV/atom